a | The following is a PBE calculation of a relaxed Sc2Te2I crystal, from the Alexandria database.

Summary:
Its calculated density is 5.965 g/cm³. The crystal system is tetragonal. As for the calculated volume: 26.28 Å³/atom.

Cell: 8.257 8.257 3.854 Å, 90.00 90.00 90.00°
Space group P4/mbm (No. 127)
Inequivalent atoms, fractional coordinates:
Sc: 0.143 0.357 0.000
Te: 0.143 0.643 0.500
I: 0.000 0.000 0.000


b | The following is a PBE calculation of a relaxed Sc2Te2I crystal, from the Alexandria database.

Summary:
Its calculated density is 5.219 g/cm³. The crystal system is tetragonal. As for the calculated volume: 30.04 Å³/atom.

Cell: 4.160 4.160 17.354 Å, 90.00 90.00 90.00°
Space group I4/mmm (No. 139)
Inequivalent atoms, fractional coordinates:
Sc: 0.000 0.000 0.167
Te: 0.000 0.000 0.336
I: 0.000 0.000 0.000


c | The following is a PBE calculation of a relaxed Sc2Te2I crystal, from the Alexandria database.

Summary:
Its calculated density is 5.166 g/cm³. The crystal system is orthorhombic. As for the calculated volume: 30.34 Å³/atom.

Cell: 4.149 5.741 12.740 Å, 90.00 90.00 90.00°
Space group Immm (No. 71)
Inequivalent atoms, fractional coordinates:
Sc: 0.000 0.000 0.183
Te: 0.000 0.500 0.159
I: 0.000 0.500 0.500


d | The following is a PBE calculation of a relaxed Sc2Te2I crystal, from the Alexandria database.

Summary:
Its calculated density is 4.704 g/cm³. The crystal system is tetragonal. As for the calculated volume: 33.32 Å³/atom.

Cell: 5.086 5.086 12.881 Å, 90.00 90.00 90.00°
Space group I4/mmm (No. 139)
Inequivalent atoms, fractional coordinates:
Sc: 0.000 0.000 0.140
Te: 0.000 0.500 0.250
I: 0.000 0.000 0.500


Relative energies with respect to the most stable structure, expressed in meV per atom: a 126; b 0; c 32; d 467.


a | The following is a PBE calculation of a relaxed YScTe2I crystal, from the Alexandria database.

Summary:
Its calculated density is 4.279 g/cm³. The crystal system is tetragonal. As for the calculated volume: 40.05 Å³/atom.

Cell: 5.895 5.895 5.761 Å, 90.00 90.00 90.00°
Space group P4/mmm (No. 123)
Inequivalent atoms, fractional coordinates:
Y: 0.000 0.000 0.000
Sc: 0.500 0.500 0.500
Te: 0.000 0.500 0.000
I: 0.000 0.000 0.500


b | The following is a PBE calculation of a relaxed YScTe2I crystal, from the Alexandria database.

Summary:
Its calculated density is 5.027 g/cm³. The crystal system is tetragonal. As for the calculated volume: 34.09 Å³/atom.

Cell: 5.591 5.591 5.452 Å, 90.00 90.00 90.00°
Space group P4/mmm (No. 123)
Inequivalent atoms, fractional coordinates:
Y: 0.000 0.000 0.000
Sc: 0.500 0.500 0.500
Te: 0.000 0.500 0.500
I: 0.500 0.500 0.000


Relative energies with respect to the most stable structure, expressed in meV per atom: a 199; b 0.


a | The following is a PBE calculation of a relaxed Sc2TiI crystal, from the Alexandria database.

Summary:
Its calculated density is 4.115 g/cm³. The crystal system is trigonal. As for the calculated volume: 26.70 Å³/atom.

Cell: 3.4854 3.4854 30.4572 Å, 90.00 90.00 120.00°
Space group R-3m (No. 166, hexagonal axes)
Inequivalent atoms, fractional coordinates:
Sc: 0.0000 0.0000 0.0928
Ti: 0.0000 0.0000 0.5000
I: 0.0000 0.0000 0.0000


b | The following is a PBE calculation of a relaxed Sc2TiI crystal, from the Alexandria database.

Summary:
Its calculated density is 4.480 g/cm³. The crystal system is tetragonal. As for the calculated volume: 24.52 Å³/atom.

Cell: 8.046 8.046 6.060 Å, 90.00 90.00 90.00°
Space group I-42d (No. 122)
Inequivalent atoms, fractional coordinates:
Sc: 0.235 0.250 0.125
Ti: 0.000 0.000 0.500
I: 0.000 0.000 0.000


c | The following is a PBE calculation of a relaxed Sc2TiI crystal, from the Alexandria database.

Summary:
Its calculated density is 4.819 g/cm³. The crystal system is cubic. As for the calculated volume: 22.80 Å³/atom.

Cell: 7.145 7.145 7.145 Å, 90.00 90.00 90.00°
Space group Fm-3m (No. 225)
Inequivalent atoms, fractional coordinates:
Sc: 0.250 0.250 0.250
Ti: 0.000 0.000 0.000
I: 0.000 0.000 0.500


Relative energies with respect to the most stable structure, expressed in meV per atom: a 0; b 198; c 118.